1.
VASP calculation (PBE) on a relaxed CePuInGa crystal.

Cell and atoms, written as POSCAR:
```
CePuInGa
1.0
5.2731 0.0000 0.0000
2.6365 4.5666 0.0000
2.6365 1.5222 4.3055
In Pu Ce Ga
1 1 1 1
Direct
0.7500 0.7500 0.7500 In
0.5000 0.5000 0.5000 Pu
0.0000 0.0000 0.0000 Ce
0.2500 0.2500 0.2500 Ga
```

## Properties
SG: No. 216
Calculated formation energy, kJ/mol of atoms: -23
Energy relative to the lowest polymorph listed for this composition, meV/atom: 96

---

2.
VASP calculation (PBE) on a relaxed Ce2InGa3Rh4 crystal.

Cell and atoms, written as POSCAR:
```
Ce2InGa3Rh4
1.0
-3.6244 2.2638 0.2918
-0.4420 -0.1589 -4.2574
-5.4976 -8.9185 0.9036
Ga Rh Ce In
3 4 2 1
Direct
0.5000 0.0000 0.8796 Ga
0.0000 0.0000 0.5000 Ga
0.0000 0.5000 0.1204 Ga
0.5000 0.5000 0.0000 Rh
0.0000 0.5000 0.3525 Rh
0.0000 0.0000 0.0000 Rh
0.5000 0.0000 0.6475 Rh
0.0000 0.5000 0.7657 Ce
0.5000 0.0000 0.2343 Ce
0.5000 0.5000 0.5000 In
```

## Properties
SG: No. 115
Calculated formation energy, kJ/mol of atoms: -68

---

Q: What is the formula in the second record?
A: Ce2InGa3Rh4